Entry 1:
DFT (PBE) results for crystalline KOsNCl4O2 at its relaxed geometry.

Structure (CIF):
```
data_KOsNCl4O2
_space_group_name_H-M_alt 'C m c 21'
_space_group_IT_number 36
_cell_length_a 9.8627
_cell_length_b 12.1248
_cell_length_c 7.9374
_cell_angle_alpha 90.00
_cell_angle_beta 90.00
_cell_angle_gamma 90.00
loop_
_space_group_symop_operation_xyz
'x,y,z'
'-x,-y,z+1/2'
'-x,y,z'
'x,-y,z+1/2'
'x+1/2,y+1/2,z'
'-x+1/2,-y+1/2,z+1/2'
'-x+1/2,y+1/2,z'
'x+1/2,-y+1/2,z+1/2'
loop_
_atom_site_label
_atom_site_type_symbol
_atom_site_fract_x
_atom_site_fract_y
_atom_site_fract_z
K1 K 0.0000 0.1443 0.0000
Os1 Os 0.0000 0.3198 0.5013
N1 N 0.0000 0.2935 0.2911
Cl1 Cl 0.1577 0.4512 0.5527
Cl2 Cl 0.2170 0.1967 0.4355
O1 O 0.0000 0.0624 0.3322
O2 O 0.0000 0.2171 0.6579
```

Calculated values
Final energy = -4.349 eV/atom

=====

Entry 2:
DFT (PBE) results for crystalline BaBPdI at its relaxed geometry.

Structure (CIF):
```
data_BaBPdI
_space_group_name_H-M_alt 'C 1 m 1'
_space_group_IT_number 8
_cell_length_a 11.4551
_cell_length_b 4.7269
_cell_length_c 4.0458
_cell_angle_alpha 90.00
_cell_angle_beta 90.64
_cell_angle_gamma 90.00
loop_
_space_group_symop_operation_xyz
'x,y,z'
'x,-y,z'
'x+1/2,y+1/2,z'
'x+1/2,-y+1/2,z'
loop_
_atom_site_label
_atom_site_type_symbol
_atom_site_fract_x
_atom_site_fract_y
_atom_site_fract_z
Ba1 Ba 0.0000 0.0000 0.0000
B1 B 0.3362 0.0000 0.0108
Pd1 Pd 0.3111 0.0000 0.5092
I1 I 0.1633 0.5000 0.5058
```

Calculated values
DOS(E_F) = 2.225 states/eV per cell
Distance to the lowest polymorph of the same formula = 33 meV per atom

=====

Entry 3:
DFT (PBE) results for crystalline Ba4CaZn5 at its relaxed geometry.

Structure (CIF):
```
data_Ba4CaZn5
_space_group_name_H-M_alt 'P 4/m m m'
_space_group_IT_number 123
_space_group_name_Hall '-P 4 2'
_cell_length_a 4.0346
_cell_length_b 4.0346
_cell_length_c 20.0425
_cell_angle_alpha 90.00
_cell_angle_beta 90.00
_cell_angle_gamma 90.00
loop_
_atom_site_label
_atom_site_type_symbol
_atom_site_fract_x
_atom_site_fract_y
_atom_site_fract_z
Ba1 Ba 0.0000 0.0000 0.1041
Ba2 Ba 0.0000 0.0000 0.3129
Ca1 Ca 0.0000 0.0000 0.5000
Zn1 Zn 0.5000 0.5000 0.0000
Zn2 Zn 0.5000 0.5000 0.2087
Zn3 Zn 0.5000 0.5000 0.4251
```

Calculated values
ΔE_f = -159 kJ/mol of formula units
DOS(E_F) = 8.916 states/eV per cell

=====

What did the second record say?
DFT (PBE) results for crystalline BaBPdI at its relaxed geometry.

Structure (CIF):
```
data_BaBPdI
_space_group_name_H-M_alt 'C 1 m 1'
_space_group_IT_number 8
_cell_length_a 11.4551
_cell_length_b 4.7269
_cell_length_c 4.0458
_cell_angle_alpha 90.00
_cell_angle_beta 90.64
_cell_angle_gamma 90.00
loop_
_space_group_symop_operation_xyz
'x,y,z'
'x,-y,z'
'x+1/2,y+1/2,z'
'x+1/2,-y+1/2,z'
loop_
_atom_site_label
_atom_site_type_symbol
_atom_site_fract_x
_atom_site_fract_y
_atom_site_fract_z
Ba1 Ba 0.0000 0.0000 0.0000
B1 B 0.3362 0.0000 0.0108
Pd1 Pd 0.3111 0.0000 0.5092
I1 I 0.1633 0.5000 0.5058
```

Calculated values
DOS(E_F) = 2.225 states/eV per cell
Distance to the lowest polymorph of the same formula = 33 meV per atom

=====

Repeat the first record exactly.
DFT (PBE) results for crystalline KOsNCl4O2 at its relaxed geometry.

Structure (CIF):
```
data_KOsNCl4O2
_space_group_name_H-M_alt 'C m c 21'
_space_group_IT_number 36
_cell_length_a 9.8627
_cell_length_b 12.1248
_cell_length_c 7.9374
_cell_angle_alpha 90.00
_cell_angle_beta 90.00
_cell_angle_gamma 90.00
loop_
_space_group_symop_operation_xyz
'x,y,z'
'-x,-y,z+1/2'
'-x,y,z'
'x,-y,z+1/2'
'x+1/2,y+1/2,z'
'-x+1/2,-y+1/2,z+1/2'
'-x+1/2,y+1/2,z'
'x+1/2,-y+1/2,z+1/2'
loop_
_atom_site_label
_atom_site_type_symbol
_atom_site_fract_x
_atom_site_fract_y
_atom_site_fract_z
K1 K 0.0000 0.1443 0.0000
Os1 Os 0.0000 0.3198 0.5013
N1 N 0.0000 0.2935 0.2911
Cl1 Cl 0.1577 0.4512 0.5527
Cl2 Cl 0.2170 0.1967 0.4355
O1 O 0.0000 0.0624 0.3322
O2 O 0.0000 0.2171 0.6579
```

Calculated values
Final energy = -4.349 eV/atom